DFT (GGA-PBEsol) results for a relaxed structure of CaSc2Tl. Values from VASP.

Structure (Quantum ESPRESSO input):
```
&SYSTEM
  ibrav = 0, nat = 4, ntyp = 3
/
ATOMIC_SPECIES
Sc 44.96 Sc.upf
Tl 204.38 Tl.upf
Ca 40.08 Ca.upf
ATOMIC_POSITIONS angstrom
Sc -0.615 0.595 3.158
Sc 0.138 -0.038 0.137
Tl 2.215 -0.602 2.197
Ca 1.638 -0.017 5.393
CELL_PARAMETERS angstrom
-0.287 3.162 1.156
-3.233 -1.349 2.890
4.598 -1.250 4.560
```

Computed properties:
* ΔH_f (0 K): -124.8 meV/atom